one:
A relaxed Fe3HgAs crystal. Source: Alexandria via LeMat-Bulk, functional PBE.

Results
SG: Pm-3m
V: 22.3 A^3/atom
crystal system: cubic

a = 4.810 Å, b = 4.810 Å, c = 4.810 Å
α = 90.00°, β = 90.00°, γ = 90.00°
Last column: magnetic moment on the atom in μB.
Atoms (fractional coordinates):
Fe: 0.000 0.500 0.000  3.02
As: 0.500 0.500 0.500  -0.04
Fe: 0.000 0.000 0.500  3.51
Fe: 0.500 0.000 0.000  2.58
Hg: 0.000 0.000 0.000  -0.05



two:
A relaxed Fe3HgAs crystal. Source: Alexandria via LeMat-Bulk, functional PBE.

Results
SG: Pm-3m
V: 17.3 A^3/atom
crystal system: cubic

a = 4.425 Å, b = 4.425 Å, c = 4.425 Å
α = 90.00°, β = 90.00°, γ = 90.00°
Last column: magnetic moment on the atom in μB.
Atoms (fractional coordinates):
As: 0.000 0.000 0.000  -0.07
Fe: 0.000 0.000 0.500  2.45
Hg: 0.500 0.500 0.500  -0.06
Fe: 0.000 0.500 0.000  2.31
Fe: 0.500 0.000 0.000  2.39



Which structure is the most stable? The one labeled two.



one:
A relaxed FeAs2I crystal. Source: Alexandria via LeMat-Bulk, functional PBE.

Results
SG: I-42d
V: 26.7 A^3/atom
crystal system: tetragonal

a = 6.223 Å, b = 6.223 Å, c = 7.049 Å
α = 63.81°, β = 63.81°, γ = 90.00°
Atoms (fractional coordinates):
As: 0.875 0.737 0.750
I: 0.750 0.250 0.500
As: 0.263 0.625 0.250
I: 0.000 0.000 0.000
Fe: 0.250 0.750 0.500
As: 0.375 0.513 0.750
As: 0.487 0.125 0.250
Fe: 0.500 0.500 0.000



two:
A relaxed FeAs2I crystal. Source: Alexandria via LeMat-Bulk, functional PBE.

Results
SG: Fm-3m
V: 19.0 A^3/atom
crystal system: cubic

a = 4.756 Å, b = 4.756 Å, c = 4.756 Å
α = 60.00°, β = 60.00°, γ = 60.00°
Atoms (fractional coordinates):
As: 0.750 0.750 0.750
Fe: 0.000 0.000 0.000
As: 0.250 0.250 0.250
I: 0.500 0.500 0.500



Which structure is the most stable? The one labeled one.